[1]
Material: Hf6TlIn
Method: DFT, PBE
State: relaxed

Cell: 5.5947 5.5947 5.5947 Å, 90.00 90.00 90.00°
Closest atoms and distances in Å follow each position.
Space group Pm-3 (No. 200)
Asymmetric unit:
Hf  0.0000  0.2504  0.5000 (multiplicity 6)  2 Hf 2.79-2.80, 2 In 3.13
Tl  0.0000  0.0000  0.0000 (multiplicity 1)  12 Hf 3.13
In  0.5000  0.5000  0.5000 (multiplicity 1)  12 Hf 3.13

Computed properties:
E above lowest polymorph = 16.4 kJ/mol of formula units
Energy relative to the elements = -0.04 eV per atom
VASP energy = -8.14 eV/atom

---

[2]
Material: Hf2TlIn2
Method: DFT, PBE
State: relaxed

Cell: 8.8709 8.8709 3.1437 Å, 90.00 90.00 90.00°
Closest atoms and distances in Å follow each position.
Space group P4/mbm (No. 127)
Asymmetric unit:
Hf  0.1248  0.3752  0.0000 (multiplicity 4)  6 In 3.02-3.08, 3 Hf 3.13-3.14
Tl  0.0000  0.0000  0.5000 (multiplicity 2)  2 Tl 3.14, 4 In 3.29
In  0.1700  0.6700  0.5000 (multiplicity 4)  6 Hf 3.02-3.08, 2 In 3.14, 2 Tl 3.29

Computed properties:
E above lowest polymorph = 12.2 kJ/mol of formula units
Energy relative to the elements = 0.14 eV per atom
VASP energy = -5.41 eV/atom

---

[3]
Material: Hf6TlIn
Method: DFT, PBE
State: relaxed

Cell: 4.4342 4.4342 8.8724 Å, 90.00 90.00 90.00°
Closest atoms and distances in Å follow each position.
Space group P4/mmm (No. 123)
Asymmetric unit:
Hf  0.0000  0.0000  0.0000 (multiplicity 1)  8 Hf 3.13, 4 In 3.14
Hf  0.0000  0.0000  0.5000 (multiplicity 1)  4 Tl 3.14, 8 Hf 3.15
Hf  0.0000  0.5000  0.2484 (multiplicity 4)  8 Hf 3.13-3.15, 2 In 3.13, 2 Tl 3.15
Tl  0.5000  0.5000  0.5000 (multiplicity 1)  12 Hf 3.14-3.15
In  0.5000  0.5000  0.0000 (multiplicity 1)  12 Hf 3.13-3.14

Computed properties:
E above lowest polymorph = 0.0 kJ/mol of formula units
Energy relative to the elements = -0.06 eV per atom
VASP energy = -8.16 eV/atom

---

[4]
Material: HfTl3In
Method: DFT, PBE
State: relaxed

Cell: 5.5605 5.5605 5.5605 Å, 90.00 90.00 90.00°
Closest atoms and distances in Å follow each position.
Space group Pm-3m (No. 221)
Asymmetric unit:
Hf  0.0000  0.0000  0.0000 (multiplicity 1)  12 Tl 3.93
Tl  0.0000  0.5000  0.5000 (multiplicity 3)  2 In 2.78
In  0.5000  0.5000  0.5000 (multiplicity 1)  6 Tl 2.78

Computed properties:
E above lowest polymorph = 244.1 kJ/mol of formula units
Energy relative to the elements = 1.02 eV per atom
VASP energy = -2.94 eV/atom

---

[5]
Material: Hf4TlIn2
Method: DFT, PBE
State: relaxed

Cell: 7.5628 5.8634 8.0172 Å, 90.00 111.32 90.00°
Closest atoms and distances in Å follow each position.
Space group P2_1/m (No. 11)
Asymmetric unit:
Hf  0.1084  0.2500  0.0630 (multiplicity 2)  5 Hf 2.97-3.17, 1 In 3.02, 1 Tl 3.17
Hf  0.1238  0.0012  0.7324 (multiplicity 4)  5 Hf 2.92-3.17, 3 In 3.00-3.20, 1 Tl 3.09
Hf  0.2255  0.7500  0.2779 (multiplicity 2)  3 Hf 2.97-2.99, 3 In 3.00-3.28, 1 Tl 3.05
Tl  0.4588  0.7500  0.6786 (multiplicity 2)  2 In 2.87-3.04, 4 Hf 3.05-3.17
In  0.2461  0.2500  0.4663 (multiplicity 2)  1 Tl 2.87, 5 Hf 3.00-3.05
In  0.4799  0.7500  0.0647 (multiplicity 2)  5 Hf 3.00-3.36, 1 Tl 3.04, 2 In 3.16

Computed properties:
Energy relative to the elements = 0.10 eV per atom
VASP energy = -6.70 eV/atom

---

[6]
Material: HfTl2In
Method: DFT, PBE
State: relaxed

Cell: 7.4335 7.4335 7.4335 Å, 90.00 90.00 90.00°
Closest atoms and distances in Å follow each position.
Space group Fm-3m (No. 225)
Asymmetric unit:
Hf  0.0000  0.0000  0.0000 (multiplicity 4)  8 Tl 3.22
Tl  0.2500  0.2500  0.2500 (multiplicity 8)  4 Hf 3.22, 4 In 3.22
In  0.0000  0.0000  0.5000 (multiplicity 4)  8 Tl 3.22

Computed properties:
E above lowest polymorph = 30.0 kJ/mol of formula units
Energy relative to the elements = 0.42 eV per atom
VASP energy = -3.94 eV/atom

---

[7]
Material: Hf2TlIn
Method: DFT, PBE
State: relaxed

Cell: 4.4683 4.4683 4.4083 Å, 90.00 90.00 90.00°
Closest atoms and distances in Å follow each position.
Space group P4/mmm (No. 123)
Asymmetric unit:
Hf  0.0000  0.5000  0.0000 (multiplicity 2)  4 In 3.14, 4 Tl 3.14, 4 Hf 3.16
Tl  0.0000  0.0000  0.5000 (multiplicity 1)  8 Hf 3.14, 4 In 3.16
In  0.5000  0.5000  0.5000 (multiplicity 1)  8 Hf 3.14, 4 Tl 3.16

Computed properties:
E above lowest polymorph = 3.4 kJ/mol of formula units
Energy relative to the elements = -0.01 eV per atom
VASP energy = -6.26 eV/atom

---

[8]
Material: Hf3TlIn
Method: DFT, PBE
State: relaxed

Cell: 12.2833 9.8871 8.7858 Å, 90.00 122.55 90.00°
Closest atoms and distances in Å follow each position.
Space group C2/c (No. 15)
Asymmetric unit:
Hf  0.0874  0.1353  0.1559 (multiplicity 8)  4 Hf 2.99-3.34, 3 Tl 3.03-3.16, 3 In 3.12-3.19
Hf  0.1136  0.3531  0.6404 (multiplicity 8)  3 In 2.98-3.13, 1 Tl 3.02, 6 Hf 3.10-3.28
Hf  0.1915  0.3632  0.0473 (multiplicity 8)  6 Hf 2.99-3.28, 2 Tl 2.99-3.02, 3 In 3.20-3.28
Tl  0.2134  0.1014  0.5591 (multiplicity 8)  1 In 2.98, 6 Hf 2.99-3.16
In  0.0000  0.1376  0.7500 (multiplicity 4)  10 Hf 2.98-3.27
In  0.0000  0.4107  0.2500 (multiplicity 4)  2 Tl 2.98, 8 Hf 2.98-3.28

Computed properties:
E above lowest polymorph = 0.0 kJ/mol of formula units
Energy relative to the elements = 0.01 eV per atom
VASP energy = -6.98 eV/atom

---

[9]
Material: Hf6Tl2In
Method: DFT, PBE
State: relaxed

Cell: 17.1512 3.1889 10.2073 Å, 90.00 105.42 90.00°
Closest atoms and distances in Å follow each position.
Space group C2/m (No. 12)
Asymmetric unit:
Hf  0.1303  0.0000  0.2042 (multiplicity 4)  6 Hf 2.99-3.19, 2 In 3.07, 2 Tl 3.11
Hf  0.1734  0.5000  0.9741 (multiplicity 4)  9 Hf 3.00-3.19, 1 In 3.05
Hf  0.2172  0.0000  0.7417 (multiplicity 4)  7 Hf 2.99-3.19, 2 Tl 3.10
Tl  0.1535  0.5000  0.4739 (multiplicity 4)  4 Hf 3.10-3.11, 2 Tl 3.19
In  0.0000  0.5000  0.0000 (multiplicity 2)  6 Hf 3.05-3.07, 2 In 3.19

Computed properties:
Energy relative to the elements = 0.29 eV per atom
VASP energy = -7.17 eV/atom

---

[10]
Material: Hf2TlIn
Method: DFT, PBE
State: relaxed

Cell: 4.4935 4.4935 17.7490 Å, 90.00 90.00 120.00°
Closest atoms and distances in Å follow each position.
Space group R3m (No. 160, hexagonal axes)
Asymmetric unit:
Hf  0.0000  0.0000  0.0000 (multiplicity 3)  3 Tl 2.93, 3 In 3.00, 1 Hf 3.22
Hf  0.0000  0.0000  0.1812 (multiplicity 3)  3 Tl 2.92, 3 In 3.10, 1 Hf 3.22
Tl  0.0000  0.0000  0.5905 (multiplicity 3)  6 Hf 2.92-2.93, 1 In 3.05
In  0.0000  0.0000  0.4185 (multiplicity 3)  6 Hf 3.00-3.10, 1 Tl 3.05

Computed properties:
E above lowest polymorph = 156.9 kJ/mol of formula units
Energy relative to the elements = 0.39 eV per atom
VASP energy = -5.86 eV/atom

---

[11]
Material: Hf5TlIn4
Method: DFT, PBE
State: relaxed

Cell: 3.1288 3.1288 22.2670 Å, 90.00 90.00 90.00°
Closest atoms and distances in Å follow each position.
Space group P4/mmm (No. 123)
Asymmetric unit:
Hf  0.0000  0.0000  0.0000 (multiplicity 1)  4 Hf 3.13, 8 In 3.13
Hf  0.0000  0.0000  0.1995 (multiplicity 2)  8 In 3.12-3.14, 4 Hf 3.13
Hf  0.0000  0.0000  0.3962 (multiplicity 2)  4 In 3.11, 4 Hf 3.13, 4 Tl 3.20
Tl  0.5000  0.5000  0.5000 (multiplicity 1)  4 Tl 3.13, 8 Hf 3.20
In  0.5000  0.5000  0.0996 (multiplicity 2)  4 In 3.13, 8 Hf 3.13-3.14
In  0.5000  0.5000  0.2983 (multiplicity 2)  8 Hf 3.11-3.12, 4 In 3.13

Computed properties:
Energy relative to the elements = -0.10 eV per atom
VASP energy = -6.41 eV/atom

---

[12]
Material: YHf2TlIn
Method: DFT, PBE
State: relaxed

Cell: 5.3801 5.3801 5.3647 Å, 90.00 90.00 90.00°
Closest atoms and distances in Å follow each position.
Space group P4/mmm (No. 123)
Asymmetric unit:
Y  0.0000  0.0000  0.0000 (multiplicity 1)  8 Hf 3.80, 4 In 3.80
Hf  0.0000  0.5000  0.5000 (multiplicity 2)  2 Tl 2.69
Tl  0.5000  0.5000  0.5000 (multiplicity 1)  2 In 2.68, 4 Hf 2.69
In  0.5000  0.5000  0.0000 (multiplicity 1)  2 Tl 2.68

Computed properties:
Energy relative to the elements = 1.00 eV per atom
VASP energy = -5.30 eV/atom

---

[13]
Material: HfTlZn2In
Method: DFT, PBE
State: relaxed

Cell: 5.2956 5.2956 5.6680 Å, 90.00 90.00 90.00°
Closest atoms and distances in Å follow each position.
Space group P4/mmm (No. 123)
Asymmetric unit:
Hf  0.0000  0.0000  0.0000 (multiplicity 1)  4 Zn 2.65, 2 Tl 2.83
Tl  0.0000  0.0000  0.5000 (multiplicity 1)  2 Hf 2.83
Zn  0.0000  0.5000  0.0000 (multiplicity 2)  2 Hf 2.65
In  0.5000  0.5000  0.5000 (multiplicity 1)  4 Tl 3.74, 8 Zn 3.88

Computed properties:
Energy relative to the elements = 0.76 eV per atom
VASP energy = -2.76 eV/atom